[1]
The following is a GGA-PBE calculation of TlZnCd2Ni after structural relaxation, from Alexandria via LeMat-Bulk.

- energy relative to the elements (eV per atom) = 0.135
- total DFT energy (no corrections) (eV per atom) = -2.115

a = 5.0489 Å, b = 5.0489 Å, c = 4.6970 Å
α = 90.00°, β = 90.00°, γ = 90.00°
Space group P4/mmm (No. 123)
Asymmetric unit:
Tl 0.0000 0.0000 0.0000
Zn 0.5000 0.5000 0.0000
Cd 0.0000 0.5000 0.5000
Ni 0.5000 0.5000 0.5000

=====

[2]
The following is a GGA-PBE calculation of Tm5Cd4Ni after structural relaxation, from Alexandria via LeMat-Bulk.

- energy relative to the elements (eV per atom) = -0.327
- total DFT energy (no corrections) (eV per atom) = -3.507

a = 3.5320 Å, b = 3.5320 Å, c = 19.1434 Å
α = 90.00°, β = 90.00°, γ = 90.00°
Space group P4/mmm (No. 123)
Asymmetric unit:
Tm 0.0000 0.0000 0.0000
Tm 0.0000 0.0000 0.2072
Tm 0.0000 0.0000 0.4182
Cd 0.5000 0.5000 0.1031
Cd 0.5000 0.5000 0.3102
Ni 0.5000 0.5000 0.5000

=====

[3]
The following is a GGA-PBE calculation of Tm2Cd2Ni after structural relaxation, from Alexandria via LeMat-Bulk.

- energy relative to the elements (eV per atom) = -0.345
- total DFT energy (no corrections) (eV per atom) = -3.656

a = 3.3665 Å, b = 3.3665 Å, c = 19.2816 Å
α = 90.00°, β = 90.00°, γ = 90.00°
Space group I4/mmm (No. 139)
Asymmetric unit:
Tm 0.0000 0.0000 0.0833
Cd 0.0000 0.0000 0.3003
Ni 0.0000 0.0000 0.5000

=====

[4]
The following is a GGA-PBE calculation of Tm8Cd2Ni after structural relaxation, from Alexandria via LeMat-Bulk.

- energy relative to the elements (eV per atom) = -0.148
- total DFT energy (no corrections) (eV per atom) = -4.092

a = 17.2930 Å, b = 5.2774 Å, c = 6.7617 Å
α = 90.00°, β = 109.55°, γ = 90.00°
Space group C2/m (No. 12)
Asymmetric unit:
Tm 0.0205 0.0000 0.2828
Tm 0.0913 0.5000 0.9223
Tm 0.1485 0.5000 0.4496
Tm 0.1989 0.0000 0.7852
Cd 0.1839 0.0000 0.2110
Ni 0.0000 0.5000 0.5000

=====

[5]
The following is a GGA-PBE calculation of Tm3CdNi4 after structural relaxation, from Alexandria via LeMat-Bulk.

- energy relative to the elements (eV per atom) = -0.259
- total DFT energy (no corrections) (eV per atom) = -4.941

a = 3.6658 Å, b = 5.8533 Å, c = 14.5798 Å
α = 90.00°, β = 90.00°, γ = 90.00°
Space group Immm (No. 71)
Asymmetric unit:
Tm 0.0000 0.0000 0.0000
Tm 0.0000 0.5000 0.1940
Cd 0.0000 0.0000 0.5000
Ni 0.0000 0.3049 0.3714

=====

[6]
The following is a GGA-PBE calculation of Tm3Cd3Ni2 after structural relaxation, from Alexandria via LeMat-Bulk.

- energy relative to the elements (eV per atom) = -0.395
- total DFT energy (no corrections) (eV per atom) = -3.861

a = 7.3717 Å, b = 7.3717 Å, c = 3.6065 Å
α = 90.00°, β = 90.00°, γ = 120.00°
Space group P-62m (No. 189)
Asymmetric unit:
Tm 0.0000 0.5772 0.0000
Cd 0.0000 0.2328 0.5000
Ni 0.3333 0.6667 0.5000

=====

| no. | density of states at the Fermi level (states/eV per cell) |
| --- | --- |
| 1 | 3.1 |
| 2 | 7.8 |
| 3 | 5.6 |
| 4 | 19.1 |
| 5 | 6.5 |
| 6 | 4.9 |